[1]
VASP calculation (meta-GGA SCAN) on a PBEsol-optimized structure of In3BAs.

- space-group type = Pm-3m, No. 221
- energy relative to the elements (eV/atom) = 0.4755
- energy (eV/atom) = -25.080

abc: 4.682 4.682 4.682
angles: 90.00 90.00 90.00
Element x y z (fractional)
1 As 0.500 0.500 0.500
2 B 0.000 0.000 0.000
3 In 0.000 0.500 0.000
4 In 0.000 0.000 0.500
5 In 0.500 0.000 0.000

---

[2]
VASP calculation (meta-GGA SCAN) on a PBEsol-optimized structure of ThB2Ru2.

- space-group type = Fddd, No. 70
- energy relative to the elements (eV/atom) = -0.6371
- energy (eV/atom) = -36.723

abc: 5.530 5.530 5.965
angles: 108.52 108.52 108.35
Element x y z (fractional)
1 Ru 0.613 0.113 0.227
2 Ru 0.887 0.387 0.773
3 Ru 0.363 0.363 0.727
4 Ru 0.637 0.637 0.273
5 B 0.567 0.433 0.500
6 B 0.933 0.067 0.500
7 B 0.317 0.683 0.000
8 B 0.683 0.317 0.000
9 Th 0.250 0.750 0.500
10 Th 0.000 0.000 0.000

---

[3]
VASP calculation (meta-GGA SCAN) on a PBEsol-optimized structure of ZrFe2Tc.

- excess energy over the best structure of this formula in the dataset (meV per atom) = 0
- space-group type = P4/mmm, No. 123
- energy relative to the elements (eV/atom) = -0.0162
- energy (eV/atom) = -25.521

abc: 3.091 4.235 4.235
angles: 90.00 90.00 90.00
Each line ends with the local moment (μB).
Element x y z (fractional)
1 Fe 0.000 0.000 0.500  2.27
2 Fe 0.000 0.500 0.000  2.27
3 Tc 0.500 0.500 0.500  0.39
4 Zr 0.500 0.000 0.000  -0.53

---

[4]
VASP calculation (meta-GGA SCAN) on a PBEsol-optimized structure of ScMnRu2N.

- space-group type = P4/mmm, No. 123
- energy (eV/atom) = -22.694

abc: 3.992 3.992 4.167
angles: 90.00 90.00 90.00
Each line ends with the local moment (μB).
Element x y z (fractional)
1 Sc 0.000 0.000 0.500  -0.06
2 Ru 0.000 0.500 0.000  -0.06
3 Ru 0.500 0.000 0.000  -0.06
4 Mn 0.500 0.500 0.500  4.05
5 N 0.000 0.000 0.000  0.00

---

[5]
VASP calculation (meta-GGA SCAN) on a PBEsol-optimized structure of La5Mg.

- excess energy over the best structure of this formula in the dataset (meV per atom) = 0
- space-group type = R32, No. 155
- energy relative to the elements (eV/atom) = -0.0434
- energy (eV/atom) = -36.793

abc: 6.263 6.263 6.773
angles: 62.46 62.46 60.00
Element x y z (fractional)
1 Mg 0.500 0.500 0.500
2 La 0.627 0.000 0.000
3 La 0.844 0.844 0.468
4 La 0.373 0.627 0.000
5 La 0.000 0.373 0.000
6 La 0.156 0.156 0.532

---

[6]
VASP calculation (meta-GGA SCAN) on a PBEsol-optimized structure of Ti3CuBr.

- space-group type = Pm-3m, No. 221
- energy (eV/atom) = -15.843

abc: 4.570 4.570 4.570
angles: 90.00 90.00 90.00
Each line ends with the local moment (μB).
Element x y z (fractional)
1 Cu 0.500 0.500 0.500  0.07
2 Br 0.000 0.000 0.000  -0.01
3 Ti 0.000 0.500 0.000  0.54
4 Ti 0.000 0.000 0.500  0.54
5 Ti 0.500 0.000 0.000  0.54

---

[7]
VASP calculation (meta-GGA SCAN) on a PBEsol-optimized structure of FeGe2BrO.

- space-group type = P4/mmm, No. 123
- energy (eV/atom) = -15.956

abc: 4.048 4.048 5.718
angles: 90.00 90.00 90.00
Each line ends with the local moment (μB).
Element x y z (fractional)
1 O 0.000 0.000 0.000  0.02
2 Ge 0.000 0.500 0.000  -0.03
3 Ge 0.500 0.000 0.000  -0.03
4 Fe 0.500 0.500 0.500  3.32
5 Br 0.000 0.000 0.500  0.05

---

[8]
VASP calculation (meta-GGA SCAN) on a PBEsol-optimized structure of MnRuN2.

- space-group type = I-42d, No. 122
- energy (eV/atom) = -18.053

abc: 4.392 4.392 5.278
angles: 114.59 114.59 90.00
Each line ends with the local moment (μB).
Element x y z (fractional)
1 Ru 0.250 0.750 0.500  -0.06
2 Ru 0.000 0.000 0.000  -0.06
3 Mn 0.750 0.250 0.500  0.74
4 Mn 0.500 0.500 0.000  0.74
5 N 0.408 0.875 0.250  -0.01
6 N 0.842 0.375 0.250  -0.01
7 N 0.125 0.158 0.750  -0.01
8 N 0.625 0.592 0.750  -0.01